Entry 1:
The following is a PBE calculation of HfTiSi2O8 after structural relaxation, from Alexandria via LeMat-Bulk.

Cell lengths 6.5031, 6.5031, 5.9630 Å; angles 90.00, 90.00, 90.00 degrees
Space group I-4m2 (No. 119)
Unique sites:
Hf 0.0000 0.0000 0.0000
Ti 0.0000 0.5000 0.7500
Si 0.0000 0.0000 0.5000
Si 0.0000 0.5000 0.2500
O 0.0000 0.1902 0.6817
O 0.0000 0.3164 0.0642

Computed properties:
For the density of states at the Fermi level, the calculation gives 0.00 states/eV/atom. The spin magnetization comes out at 0.00 μB/f.u. The value obtained for the final energy is -8.660 eV per atom. For the formation energy without anion corrections, the calculation gives -2964 meV per atom.

Entry 2:
The following is a PBE calculation of HgBr2 after structural relaxation, from Alexandria via LeMat-Bulk.

Cell lengths 4.8866, 4.8866, 25.5623 Å; angles 90.00, 90.00, 90.00 degrees
Space group I4_1/amd (No. 141, origin choice 2)
Unique sites:
Hg 0.0000 0.2500 0.3750
Br 0.0000 0.2500 0.7646

Computed properties:
For the density of states at the Fermi level, the calculation gives 0.51 states/eV/atom. The spin magnetization comes out at 0.00 μB/f.u. The value obtained for the final energy is -1.129 eV per atom. For the formation energy without anion corrections, the calculation gives 87 meV per atom.

Entry 3:
The following is a PBE calculation of Hf3TaNi2N after structural relaxation, from Alexandria via LeMat-Bulk.

Cell lengths 4.1863, 4.3176, 12.7014 Å; angles 90.00, 90.00, 90.00 degrees
Space group Immm (No. 71)
Unique sites:
Hf 0.0000 0.0000 0.0000
Hf 0.0000 0.5000 0.1852
Ta 0.0000 0.0000 0.5000
Ni 0.0000 0.5000 0.3764
N 0.0000 0.5000 0.0000

Computed properties:
For the density of states at the Fermi level, the calculation gives 0.27 states/eV/atom. The spin magnetization comes out at 0.00 μB/f.u. The value obtained for the final energy is -9.420 eV per atom. For the formation energy without anion corrections, the calculation gives -620 meV per atom.

Entry 4:
The following is a PBE calculation of TbTm2Pb3 after structural relaxation, from Alexandria via LeMat-Bulk.

Cell lengths 16.8157, 6.3678, 6.3675 Å; angles 90.00, 100.84, 90.00 degrees
Space group C2/c (No. 15)
Unique sites:
Tb 0.0000 0.1267 0.2500
Tm 0.1665 0.3759 0.0809
Pb 0.0000 0.3744 0.7500
Pb 0.1679 0.1239 0.5851

Computed properties:
For the density of states at the Fermi level, the calculation gives 0.39 states/eV/atom. As for the offset from the most stable computed form: 0 meV/atom. The formation energy comes out at -0.469 eV per atom. The spin magnetization comes out at 0.00 μB/f.u. The value obtained for the final energy is -4.585 eV per atom.

Entry 5:
The following is a PBE calculation of Hg2WSe after structural relaxation, from Alexandria via LeMat-Bulk.

Cell lengths 3.0879, 4.6360, 5.6980 Å; angles 90.00, 90.00, 90.00 degrees
Space group Pmmm (No. 47)
Unique sites:
Hg 0.0000 0.0000 0.0000
Hg 0.5000 0.5000 0.0000
W 0.0000 0.5000 0.5000
Se 0.5000 0.0000 0.5000

Computed properties:
For the density of states at the Fermi level, the calculation gives 0.70 states/eV/atom. The spin magnetization comes out at 0.00 μB/f.u. The value obtained for the final energy is -3.420 eV per atom. For the formation energy without anion corrections, the calculation gives 840 meV per atom.

Entry 6:
The following is a PBE calculation of ThMgGaAu after structural relaxation, from Alexandria via LeMat-Bulk.

Cell lengths 7.1202, 7.1202, 7.1202 Å; angles 90.00, 90.00, 90.00 degrees
Space group F-43m (No. 216)
Unique sites:
Th 0.0000 0.0000 0.0000
Mg 0.0000 0.0000 0.5000
Ga 0.2500 0.2500 0.7500
Au 0.2500 0.2500 0.2500

Computed properties:
For the density of states at the Fermi level, the calculation gives 0.62 states/eV/atom. The formation energy comes out at -0.527 eV per atom. The spin magnetization comes out at 0.00 μB/f.u. The value obtained for the final energy is -4.357 eV per atom.

Entry 7:
The following is a PBE calculation of SnCl3F after structural relaxation, from Alexandria via LeMat-Bulk.

Cell lengths 6.9749, 6.7804, 5.8818 Å; angles 90.00, 90.00, 90.00 degrees
Space group Pmn2_1 (No. 31)
Unique sites:
Sn 0.0000 0.0132 0.0000
Cl 0.0000 0.3066 0.7968
Cl 0.2449 0.8255 0.7642
F 0.0000 0.7881 0.2038

Computed properties:
For the density of states at the Fermi level, the calculation gives 0.00 states/eV/atom. As for the offset from the most stable computed form: 78 meV/atom. The spin magnetization comes out at 0.00 μB/f.u. The value obtained for the final energy is -3.481 eV per atom. For the formation energy without anion corrections, the calculation gives -1199 meV per atom.

Entry 8:
The following is a PBE calculation of KHg7Au2 after structural relaxation, from Alexandria via LeMat-Bulk.

Cell lengths 10.0443, 13.7879, 4.3291 Å; angles 90.00, 90.00, 90.00 degrees
Space group Cmmm (No. 65)
Unique sites:
K 0.0000 0.0000 0.0000
Hg 0.0000 0.3314 0.0000
Hg 0.0000 0.5000 0.5000
Hg 0.2398 0.3712 0.5000
Au 0.0000 0.1960 0.5000

Computed properties:
For the density of states at the Fermi level, the calculation gives 0.19 states/eV/atom. As for the offset from the most stable computed form: 17 meV/atom. The formation energy comes out at -0.035 eV per atom. The spin magnetization comes out at 0.00 μB/f.u. The value obtained for the final energy is -1.012 eV per atom.

spin magnetization of number 1 (HfTiSi2O8)? 0.00 μB/f.u.